# In2TePb2

A geometry-optimized In2TePb2 structure (PBE-GGA, Alexandria).

```
data_In2TePb2
_chemical_formula_sum 'In4 Te2 Pb4'
_space_group_name_H-M_alt 'P 4/m b m'
_space_group_IT_number 127
_space_group_name_Hall '-P 4 2ab'
_cell_length_a 8.520
_cell_length_b 8.520
_cell_length_c 4.247
_cell_angle_alpha 90.00
_cell_angle_beta 90.00
_cell_angle_gamma 90.00
loop_
_atom_site_label
_atom_site_type_symbol
_atom_site_fract_x
_atom_site_fract_y
_atom_site_fract_z
_atom_site_occupancy
In1 In 0.126 0.374 0.000 1
Te1 Te 0.000 0.000 0.000 1
Pb1 Pb 0.186 0.686 0.500 1
```

Properties
For the offset from the most stable computed form, the calculation gives 0.031 eV/atom. The total moment comes out at 0.000 μB per formula unit. The energy is -3.145 eV per atom. For the density of states at the Fermi level, the calculation gives 5.365 states/eV per cell.